Na2NiAuO4: relaxed, GGA+U.

CIF file:
```
data_Na2NiAuO4
_cell_length_a 6.015
_cell_length_b 6.015
_cell_length_c 5.791
_cell_angle_alpha 90.00
_cell_angle_beta 90.00
_cell_angle_gamma 90.00
_symmetry_space_group_name_H-M 'I -4 2 m'
_symmetry_Int_Tables_number 121
_symmetry_space_group_name_Hall 'I -4 2'
loop_
_atom_site_label
_atom_site_type_symbol
_atom_site_fract_x
_atom_site_fract_y
_atom_site_fract_z
Na1 Na 0.000 0.500 0.000
Ni1 Ni 0.000 0.000 0.000
Au1 Au 0.000 0.000 0.500
O1 O 0.165 0.165 0.214
```

Output
The calculation puts the total energy at -64.85 eV for the cell shown.